No. 1
The following is a DFT calculation (GGA-PBE) of NpAlS3 after structural relaxation.

Cell: 6.013 8.396 9.453 Å, 123.37 90.00 90.00°
Site moments in Bohr magnetons follow the coordinates.
Sites, in units of the cell vectors:
Np (0.288, 0.497, 0.876)  3.92
Np (0.212, 0.997, 0.376)  3.92
Np (0.712, 0.503, 0.124)  3.92
Np (0.788, 0.003, 0.624)  3.92
S (0.846, 0.404, 0.788)  -0.09
S (0.561, 0.777, 0.863)  -0.03
S (0.154, 0.596, 0.212)  -0.09
S (0.407, 0.354, 0.546)  -0.06
S (0.939, 0.277, 0.363)  -0.03
S (0.093, 0.854, 0.046)  -0.06
S (0.061, 0.723, 0.637)  -0.03
S (0.439, 0.223, 0.137)  -0.03
S (0.593, 0.646, 0.454)  -0.06
S (0.907, 0.146, 0.954)  -0.06
S (0.346, 0.096, 0.712)  -0.09
S (0.654, 0.904, 0.288)  -0.09
Al (0.250, 0.972, 0.888)  0.01
Al (0.250, 0.472, 0.388)  0.01
Al (0.750, 0.528, 0.612)  0.01
Al (0.750, 0.028, 0.112)  0.01

Energy above the lowest structure with this stoichiometry ... 0.071 eV per atom
VASP energy ... -6.888 eV per atom
ΔE_f (raw) ... -1.074 eV per atom
Density ... 6.00 Mg/m³
Space-group type ... P2_1/c (14)

---

No. 2
The following is a DFT calculation (GGA-PBE) of HgMoSN2 after structural relaxation.

Cell: 4.175 4.175 5.204 Å, 90.00 90.00 90.00°
Site moments in Bohr magnetons follow the coordinates.
Sites, in units of the cell vectors:
N (0.500, 0.000, 0.000)  -0.86
N (0.000, 0.500, 0.000)  -0.86
S (0.000, 0.000, 0.500)  -0.16
Mo (0.500, 0.500, 0.500)  3.39
Hg (0.000, 0.000, 0.000)  -0.05

Energy above the lowest structure with this stoichiometry ... 1.801 eV per atom
VASP energy ... -4.155 eV per atom
ΔE_f (raw) ... 2.227 eV per atom
Density ... 6.53 Mg/m³
Space-group type ... P4/mmm (123)

---

What did the second record say?
The following is a DFT calculation (GGA-PBE) of HgMoSN2 after structural relaxation.

Cell: 4.175 4.175 5.204 Å, 90.00 90.00 90.00°
Site moments in Bohr magnetons follow the coordinates.
Sites, in units of the cell vectors:
N (0.500, 0.000, 0.000)  -0.86
N (0.000, 0.500, 0.000)  -0.86
S (0.000, 0.000, 0.500)  -0.16
Mo (0.500, 0.500, 0.500)  3.39
Hg (0.000, 0.000, 0.000)  -0.05

Energy above the lowest structure with this stoichiometry ... 1.801 eV per atom
VASP energy ... -4.155 eV per atom
ΔE_f (raw) ... 2.227 eV per atom
Density ... 6.53 Mg/m³
Space-group type ... P4/mmm (123)